Record 1
# ZrAlNi (GGA-PBEsol, optimized geometry)
data_ZrAlNi
_chemical_formula_sum 'Zr4 Al4 Ni4'
_symmetry_space_group_name_H-M 'P b c m'
_symmetry_Int_Tables_number 57
_cell_length_a 5.451
_cell_length_b 6.816
_cell_length_c 5.002
_cell_angle_alpha 90.00
_cell_angle_beta 90.00
_cell_angle_gamma 90.00
loop_
_symmetry_equiv_pos_as_xyz
'x,y,z'
'-x,-y,-z'
'-x,-y,z+1/2'
'x,y,-z+1/2'
'x,-y+1/2,-z'
'-x,y+1/2,z'
'-x,y+1/2,-z+1/2'
'x,-y+1/2,z+1/2'
loop_
_atom_site_label
_atom_site_type_symbol
_atom_site_fract_x
_atom_site_fract_y
_atom_site_fract_z
_atom_site_occupancy
Zr1 Zr 0.098 0.104 0.250 1
Al1 Al 0.395 0.052 0.750 1
Ni1 Ni 0.314 0.750 0.000 1
# Total magnetization, μB/cell: 0.000
# ΔE_f, eV per formula unit: -1.8
# Final energy, eV/atom: -7.035



Record 2
# Y2ScBeAl (GGA-PBEsol, optimized geometry)
data_Y2ScBeAl
_chemical_formula_sum 'Y2 Sc1 Be1 Al1'
_symmetry_space_group_name_H-M 'P 4/m m m'
_symmetry_Int_Tables_number 123
_symmetry_space_group_name_Hall '-P 4 2'
_cell_length_a 5.405
_cell_length_b 5.405
_cell_length_c 5.038
_cell_angle_alpha 90.00
_cell_angle_beta 90.00
_cell_angle_gamma 90.00
loop_
_atom_site_label
_atom_site_type_symbol
_atom_site_fract_x
_atom_site_fract_y
_atom_site_fract_z
_atom_site_occupancy
Y1 Y 0.000 0.500 0.000 1
Sc1 Sc 0.000 0.000 0.500 1
Be1 Be 0.500 0.500 0.500 1
Al1 Al 0.000 0.000 0.000 1
# Total magnetization, μB/cell: 0.067
# ΔE_f, eV per formula unit: 3.9
# Final energy, eV/atom: -4.897